The following is a DFT calculation (meta-GGA SCAN) of BaZr2Mn at its PBEsol-relaxed geometry.

Cell lengths 4.5824, 4.5824, 5.5463 Å; angles 114.40, 114.40, 90.00 degrees
Fractional coordinates of all 4 atoms:
1 Mn 0.2500 0.7500 0.5000
2 Zr 0.7500 0.2500 0.5000
3 Zr 0.0000 0.0000 0.0000
4 Ba 0.5000 0.5000 0.0000

Computed properties:
Energy above the lowest structure with this stoichiometry in meV per atom: 329
Calculated formation energy in eV per formula unit: 2.5